Record 1
This record from Alexandria via LeMat-Bulk describes a relaxed Ba3TiPt crystal. The functional is PBEsol.

Formation energy from the elements in meV per atom: 285

Unit cell a=6.0486 b=6.0486 c=6.0486 alpha=90.00 beta=90.00 gamma=90.00
Closest atoms and distances in Å follow each position.
Space group Pm-3m (No. 221)
Inequivalent atoms, fractional coordinates:
Ba: 0.0000 0.0000 0.5000 (multiplicity 3)  2 Pt 3.02
Ti: 0.5000 0.5000 0.5000 (multiplicity 1)  12 Ba 4.28
Pt: 0.0000 0.0000 0.0000 (multiplicity 1)  6 Ba 3.02



Record 2
This record from Alexandria via LeMat-Bulk describes a relaxed ZrRuS2Cl crystal. The functional is PBEsol.

E_form (uncorrected) in kJ/mol of formula units: -7

Unit cell a=4.5425 b=4.5425 c=4.4633 alpha=90.00 beta=90.00 gamma=90.00
Closest atoms and distances in Å follow each position.
Space group P4/mmm (No. 123)
Inequivalent atoms, fractional coordinates:
Zr: 0.0000 0.0000 0.0000 (multiplicity 1)  8 S 3.18, 4 Cl 3.21
Ru: 0.5000 0.5000 0.5000 (multiplicity 1)  2 Cl 2.23, 4 S 2.27
S: 0.0000 0.5000 0.5000 (multiplicity 2)  2 Ru 2.27
Cl: 0.5000 0.5000 0.0000 (multiplicity 1)  2 Ru 2.23



Record 3
This record from Alexandria via LeMat-Bulk describes a relaxed OsRh3 crystal. The functional is PBEsol.

Formation energy from the elements in meV per atom: 26

Unit cell a=8.9000 b=2.6682 c=4.6363 alpha=90.00 beta=99.81 gamma=90.00
Closest atoms and distances in Å follow each position.
Space group C2/m (No. 12)
Inequivalent atoms, fractional coordinates:
Os: 0.0000 0.0000 0.0000 (multiplicity 2)  10 Rh 2.66-2.68, 2 Os 2.67
Rh: 0.0000 0.5000 0.5000 (multiplicity 2)  8 Rh 2.67-2.70, 4 Os 2.67
Rh: 0.2481 0.5000 0.2459 (multiplicity 4)  9 Rh 2.65-2.70, 3 Os 2.66-2.68



Record 4
This record from Alexandria via LeMat-Bulk describes a relaxed Nb2GaPbI crystal. The functional is PBEsol.

E_form (uncorrected) in kJ/mol of formula units: 718

Unit cell a=5.0522 b=5.0522 c=5.3728 alpha=90.00 beta=90.00 gamma=90.00
Closest atoms and distances in Å follow each position.
Space group P4/mmm (No. 123)
Inequivalent atoms, fractional coordinates:
Nb: 0.0000 0.5000 0.0000 (multiplicity 2)  2 I 2.53
Ga: 0.0000 0.0000 0.5000 (multiplicity 1)  2 I 2.69
Pb: 0.5000 0.5000 0.5000 (multiplicity 1)  4 Ga 3.57, 8 Nb 3.69
I: 0.0000 0.0000 0.0000 (multiplicity 1)  4 Nb 2.53, 2 Ga 2.69



Record 5
This record from Alexandria via LeMat-Bulk describes a relaxed ZrScSe crystal. The functional is PBEsol.

E_form (uncorrected) in kJ/mol of formula units: -190

Unit cell a=6.2849 b=6.2849 c=6.2849 alpha=90.00 beta=90.00 gamma=90.00
Closest atoms and distances in Å follow each position.
Space group F-43m (No. 216)
Inequivalent atoms, fractional coordinates:
Zr: 0.0000 0.0000 0.0000 (multiplicity 4)  4 Se 2.72
Sc: 0.0000 0.0000 0.5000 (multiplicity 4)  4 Se 2.72
Se: 0.2500 0.2500 0.7500 (multiplicity 4)  4 Sc 2.72, 4 Zr 2.72



Record 6
This record from Alexandria via LeMat-Bulk describes a relaxed La2AlHg crystal. The functional is PBEsol.

Offset from the most stable computed form in eV/atom: 0.031
Formation energy from the elements in meV per atom: -408

Unit cell a=7.6185 b=7.6185 c=7.6185 alpha=90.00 beta=90.00 gamma=90.00
Closest atoms and distances in Å follow each position.
Space group Fm-3m (No. 225)
Inequivalent atoms, fractional coordinates:
La: 0.2500 0.2500 0.2500 (multiplicity 8)  4 Hg 3.30, 4 Al 3.30
Al: 0.0000 0.0000 0.0000 (multiplicity 4)  8 La 3.30
Hg: 0.0000 0.0000 0.5000 (multiplicity 4)  8 La 3.30



Record 7
This record from Alexandria via LeMat-Bulk describes a relaxed TmCu2 crystal. The functional is PBEsol.

Formation energy from the elements in meV per atom: -280

Unit cell a=4.2085 b=6.5440 c=7.1426 alpha=90.00 beta=90.00 gamma=90.00
Closest atoms and distances in Å follow each position.
Space group Imma (No. 74)
Inequivalent atoms, fractional coordinates:
Tm: 0.0000 0.2500 0.0473 (multiplicity 4)  12 Cu 2.86-3.02
Cu: 0.0000 0.0531 0.6645 (multiplicity 8)  4 Cu 2.43-2.58



Record 8
This record from Alexandria via LeMat-Bulk describes a relaxed Ba3PdRh crystal. The functional is PBEsol.

Formation energy from the elements in meV per atom: 65

Unit cell a=5.7450 b=5.7450 c=5.7450 alpha=90.00 beta=90.00 gamma=90.00
Closest atoms and distances in Å follow each position.
Space group Pm-3m (No. 221)
Inequivalent atoms, fractional coordinates:
Ba: 0.0000 0.0000 0.5000 (multiplicity 3)  2 Rh 2.87
Pd: 0.5000 0.5000 0.5000 (multiplicity 1)  12 Ba 4.06
Rh: 0.0000 0.0000 0.0000 (multiplicity 1)  6 Ba 2.87



Record 9
This record from Alexandria via LeMat-Bulk describes a relaxed As2HRuBr crystal. The functional is PBEsol.

Unit cell a=4.6194 b=4.6194 c=5.4097 alpha=90.00 beta=90.00 gamma=90.00
Closest atoms and distances in Å follow each position.
Space group P4/mmm (No. 123)
Inequivalent atoms, fractional coordinates:
As: 0.0000 0.5000 0.0000 (multiplicity 2)  2 Ru 2.31
H: 0.0000 0.0000 0.5000 (multiplicity 1)  4 Br 3.27, 8 As 3.56
Ru: 0.5000 0.5000 0.0000 (multiplicity 1)  4 As 2.31
Br: 0.5000 0.5000 0.5000 (multiplicity 1)  2 Ru 2.70



Record 10
This record from Alexandria via LeMat-Bulk describes a relaxed ZnNClF2 crystal. The functional is PBEsol.

E_form (uncorrected) in kJ/mol of formula units: 219

Unit cell a=4.6974 b=4.6974 c=3.2352 alpha=90.00 beta=90.00 gamma=90.00
Closest atoms and distances in Å follow each position.
Space group P4/mmm (No. 123)
Inequivalent atoms, fractional coordinates:
Zn: 0.0000 0.0000 0.0000 (multiplicity 1)  8 F 2.85
N: 0.5000 0.5000 0.0000 (multiplicity 1)  2 Cl 1.62
Cl: 0.5000 0.5000 0.5000 (multiplicity 1)  2 N 1.62
F: 0.0000 0.5000 0.5000 (multiplicity 2)  2 Cl 2.35



Record 11
This record from Alexandria via LeMat-Bulk describes a relaxed TmAlNi4 crystal. The functional is PBEsol.

Offset from the most stable computed form in eV/atom: 0.000
Formation energy from the elements in meV per atom: -544

Unit cell a=4.8929 b=8.2574 c=3.9650 alpha=90.00 beta=90.00 gamma=90.00
Closest atoms and distances in Å follow each position.
Space group Cmmm (No. 65)
Inequivalent atoms, fractional coordinates:
Tm: 0.0000 0.0000 0.0000 (multiplicity 2)  6 Ni 2.73-2.82
Al: 0.0000 0.5000 0.5000 (multiplicity 2)  8 Ni 2.40-2.43
Ni: 0.0000 0.3307 0.0000 (multiplicity 4)  4 Ni 2.42, 2 Al 2.43
Ni: 0.2500 0.2500 0.5000 (multiplicity 4)  2 Al 2.40, 6 Ni 2.42-2.45



Record 12
This record from Alexandria via LeMat-Bulk describes a relaxed AlAu3 crystal. The functional is PBEsol.

Formation energy from the elements in meV per atom: -242

Unit cell a=5.7334 b=5.7334 c=4.5899 alpha=90.00 beta=90.00 gamma=120.00
Closest atoms and distances in Å follow each position.
Space group P6_3/mmc (No. 194)
Inequivalent atoms, fractional coordinates:
Al: 0.3333 0.6667 0.2500 (multiplicity 2)  12 Au 2.81-2.87
Au: 0.1700 0.3400 0.7500 (multiplicity 6)  8 Au 2.81-2.92, 4 Al 2.81-2.87



Record 13
This record from Alexandria via LeMat-Bulk describes a relaxed RuRh8 crystal. The functional is PBEsol.

Formation energy from the elements in meV per atom: -3

Unit cell a=8.0073 b=8.0073 c=3.7719 alpha=90.00 beta=90.00 gamma=90.00
Closest atoms and distances in Å follow each position.
Space group I4/mmm (No. 139)
Inequivalent atoms, fractional coordinates:
Ru: 0.0000 0.0000 0.0000 (multiplicity 2)  12 Rh 2.65-2.66
Rh: 0.0000 0.3316 0.0000 (multiplicity 8)  1 Ru 2.66, 11 Rh 2.66-2.70
Rh: 0.1642 0.1642 0.5000 (multiplicity 8)  10 Rh 2.63-2.71, 2 Ru 2.65



Record 14
This record from Alexandria via LeMat-Bulk describes a relaxed HfGaFe2Pb crystal. The functional is PBEsol.

Formation energy from the elements in meV per atom: 1538

Unit cell a=4.7378 b=4.7378 c=5.3506 alpha=90.00 beta=90.00 gamma=90.00
Closest atoms and distances in Å follow each position.
Space group P4/mmm (No. 123)
Inequivalent atoms, fractional coordinates:
Hf: 0.0000 0.0000 0.0000 (multiplicity 1)  2 Pb 2.68
Ga: 0.5000 0.5000 0.0000 (multiplicity 1)  4 Hf 3.35, 8 Fe 3.57
Fe: 0.0000 0.5000 0.5000 (multiplicity 2)  2 Pb 2.37
Pb: 0.0000 0.0000 0.5000 (multiplicity 1)  4 Fe 2.37



Record 15
This record from Alexandria via LeMat-Bulk describes a relaxed Mg2GaH2 crystal. The functional is PBEsol.

Unit cell a=3.1837 b=3.1837 c=12.5793 alpha=90.00 beta=90.00 gamma=90.00
Closest atoms and distances in Å follow each position.
Space group I4/mmm (No. 139)
Inequivalent atoms, fractional coordinates:
Mg: 0.0000 0.0000 0.1565 (multiplicity 4)  4 H 1.98
Ga: 0.0000 0.0000 0.5000 (multiplicity 2)  8 Mg 2.99, 4 Ga 3.18
H: 0.0000 0.5000 0.2500 (multiplicity 4)  4 Mg 1.98



Record 16
This record from Alexandria via LeMat-Bulk describes a relaxed YSi crystal. The functional is PBEsol.

E_form (uncorrected) in kJ/mol of formula units: -117

Unit cell a=4.0960 b=4.0960 c=10.1160 alpha=90.00 beta=90.00 gamma=90.00
Closest atoms and distances in Å follow each position.
Space group I4_1/amd (No. 141, origin choice 2)
Inequivalent atoms, fractional coordinates:
Y: 0.0000 0.2500 0.3750 (multiplicity 4)  4 Si 2.90
Si: 0.0000 0.2500 0.8750 (multiplicity 4)  4 Y 2.90



Record 17
This record from Alexandria via LeMat-Bulk describes a relaxed CrRh3Au crystal. The functional is PBEsol.

Formation energy from the elements in meV per atom: 958

Unit cell a=4.3528 b=4.3528 c=4.3528 alpha=90.00 beta=90.00 gamma=90.00
Closest atoms and distances in Å follow each position.
Space group Pm-3m (No. 221)
Inequivalent atoms, fractional coordinates:
Cr: 0.0000 0.0000 0.0000 (multiplicity 1)  6 Rh 2.18
Rh: 0.0000 0.0000 0.5000 (multiplicity 3)  2 Cr 2.18
Au: 0.5000 0.5000 0.5000 (multiplicity 1)  12 Rh 3.08



Record 18
This record from Alexandria via LeMat-Bulk describes a relaxed FeTcAg crystal. The functional is PBEsol.

Offset from the most stable computed form in eV/atom: 0.000
Formation energy from the elements in meV per atom: 507

Unit cell a=4.2997 b=4.2997 c=2.5822 alpha=90.00 beta=90.00 gamma=120.00
Closest atoms and distances in Å follow each position.
Space group P3m1 (No. 156)
Inequivalent atoms, fractional coordinates:
Fe: 0.0000 0.0000 0.0000 (multiplicity 1)  3 Tc 2.55, 2 Fe 2.58, 3 Ag 2.62
Tc: 0.3333 0.6667 0.2226 (multiplicity 1)  3 Fe 2.55, 2 Tc 2.58, 6 Ag 2.75-2.85
Ag: 0.6667 0.3333 0.6806 (multiplicity 1)  2 Ag 2.58, 3 Fe 2.62, 6 Tc 2.75-2.85



Record 19
This record from Alexandria via LeMat-Bulk describes a relaxed K2ScPt crystal. The functional is PBEsol.

Offset from the most stable computed form in eV/atom: 0.714
Formation energy from the elements in meV per atom: 523

Unit cell a=3.0575 b=3.0575 c=11.6635 alpha=90.00 beta=90.00 gamma=90.00
Closest atoms and distances in Å follow each position.
Space group P4/mmm (No. 123)
Inequivalent atoms, fractional coordinates:
K: 0.0000 0.0000 0.1970 (multiplicity 2)  4 K 3.06, 4 Pt 3.15
Sc: 0.5000 0.5000 0.5000 (multiplicity 1)  4 Sc 3.06
Pt: 0.5000 0.5000 0.0000 (multiplicity 1)  4 Pt 3.06, 8 K 3.15



Record 20
This record from Alexandria via LeMat-Bulk describes a relaxed In3AgCl crystal. The functional is PBEsol.

E_form (uncorrected) in kJ/mol of formula units: 184

Unit cell a=5.4645 b=5.4645 c=5.4645 alpha=90.00 beta=90.00 gamma=90.00
Closest atoms and distances in Å follow each position.
Space group Pm-3m (No. 221)
Inequivalent atoms, fractional coordinates:
In: 0.0000 0.0000 0.5000 (multiplicity 3)  2 Cl 2.73
Ag: 0.5000 0.5000 0.5000 (multiplicity 1)  12 In 3.86
Cl: 0.0000 0.0000 0.0000 (multiplicity 1)  6 In 2.73



Density for every record listed, in sequence, given in g/cm3: 4.91; 5.26; 15.27; 7.14; 5.76; 7.59; 10.00; 5.44; 4.77; 3.56; 8.93; 15.70; 12.69; 7.84; 3.13; 4.58; 11.23; 10.51; 4.85; 4.96.
Raw total energy for every record listed, in sequence, given in eV per atom: -4.061; -6.021; -9.132; -4.661; -7.170; -4.246; -4.802; -4.044; -4.307; -2.741; -6.148; -4.208; -8.367; -5.616; -2.776; -6.890; -6.758; -7.340; -3.436; -2.472.